1.
VASP calculation (GGA-PBE) on Ca3Dy2ThTe6 after structural relaxation.

CIF file:
```
data_Ca3Dy2ThTe6
_cell_length_a 4.3742
_cell_length_b 9.0101
_cell_length_c 10.0392
_cell_angle_alpha 105.12
_cell_angle_beta 102.58
_cell_angle_gamma 90.00
_space_group_name_H-M_alt 'P 1'
_space_group_IT_number 1
loop_
_space_group_symop_operation_xyz
'x,y,z'
loop_
_atom_site_label
_atom_site_fract_x
_atom_site_fract_y
_atom_site_fract_z
Ca1 0.5000 0.5000 0.0000
Ca2 0.8350 0.1736 0.6700
Ca3 0.1650 0.8264 0.3300
Dy1 0.8400 0.6826 0.6799
Dy2 0.1600 0.3174 0.3201
Th1 0.5000 0.0000 0.0000
Te1 0.3303 0.9185 0.6606
Te2 0.6711 0.5730 0.3421
Te3 0.6697 0.0815 0.3394
Te4 0.9990 0.2567 0.9981
Te5 0.0010 0.7433 0.0019
Te6 0.3289 0.4270 0.6579
```

Values from the calculation:
Calculated volume ... 372 Å³/f.u.
VASP energy ... -4.84 eV/atom
Formation energy (no corrections) ... -1383.9 meV per atom
Symmetry ... C2/m (12)

---

2.
VASP calculation (GGA-PBE) on Pa2Be4Ir3Ru after structural relaxation.

CIF file:
```
data_Pa2Be4Ir3Ru
_cell_length_a 4.0450
_cell_length_b 4.0450
_cell_length_c 9.1143
_cell_angle_alpha 90.00
_cell_angle_beta 90.00
_cell_angle_gamma 90.00
_space_group_name_H-M_alt 'P 1'
_space_group_IT_number 1
loop_
_space_group_symop_operation_xyz
'x,y,z'
loop_
_atom_site_label
_atom_site_fract_x
_atom_site_fract_y
_atom_site_fract_z
Pa1 0.5000 0.0000 0.2648
Pa2 0.0000 0.5000 0.7352
Be1 0.5000 0.5000 0.0000
Be2 0.0000 0.0000 0.0000
Be3 0.5000 0.0000 0.6224
Be4 0.0000 0.5000 0.3776
Ir1 0.0000 0.0000 0.5000
Ir2 0.5000 0.0000 0.8737
Ir3 0.0000 0.5000 0.1263
Ru1 0.5000 0.5000 0.5000
```

Values from the calculation:
Calculated volume ... 149 Å³/f.u.
VASP energy ... -7.55 eV/atom
Symmetry ... P-4m2 (115)

---

3.
VASP calculation (GGA-PBE) on Ac3TbPm8 after structural relaxation.

CIF file:
```
data_Ac3TbPm8
_cell_length_a 9.0164
_cell_length_b 9.0164
_cell_length_c 9.0164
_cell_angle_alpha 98.74
_cell_angle_beta 97.04
_cell_angle_gamma 136.50
_space_group_name_H-M_alt 'P 1'
_space_group_IT_number 1
loop_
_space_group_symop_operation_xyz
'x,y,z'
loop_
_atom_site_label
_atom_site_fract_x
_atom_site_fract_y
_atom_site_fract_z
Ac1 0.5000 0.7441 0.2441
Ac2 0.5000 0.2559 0.7559
Ac3 0.0000 0.5000 0.5000
Tb1 0.0000 0.0000 0.0000
Pm1 0.4948 0.2586 0.2362
Pm2 0.5052 0.7415 0.7638
Pm3 0.9777 0.7414 0.2362
Pm4 0.0223 0.2586 0.7638
Pm5 0.1726 0.2470 0.4196
Pm6 0.8274 0.2470 0.0744
Pm7 0.1726 0.7530 0.9256
Pm8 0.8274 0.7530 0.5804
```

Values from the calculation:
Calculated volume ... 469 Å³/f.u.
VASP energy ... -4.34 eV/atom
Symmetry ... Immm (71)

---

4.
VASP calculation (GGA-PBE) on Nd3Er2Hg2 after structural relaxation.

CIF file:
```
data_Nd3Er2Hg2
_cell_length_a 4.9972
_cell_length_b 3.5465
_cell_length_c 11.8451
_cell_angle_alpha 90.00
_cell_angle_beta 77.82
_cell_angle_gamma 90.00
_space_group_name_H-M_alt 'P 1'
_space_group_IT_number 1
loop_
_space_group_symop_operation_xyz
'x,y,z'
loop_
_atom_site_label
_atom_site_fract_x
_atom_site_fract_y
_atom_site_fract_z
Nd1 0.8551 0.0000 0.2897
Nd2 0.0000 0.0000 0.0000
Nd3 0.1449 0.0000 0.7103
Er1 0.7094 0.5000 0.5812
Er2 0.2906 0.5000 0.4188
Hg1 0.5714 0.5000 0.8572
Hg2 0.4286 0.5000 0.1428
```

Values from the calculation:
ΔE to the lowest computed polymorph ... 0.78 eV/f.u.
Calculated volume ... 205 Å³/f.u.
VASP energy ... -3.55 eV/atom
Symmetry ... Cmmm (65)

---

5.
VASP calculation (GGA-PBE) on KTeS3 after structural relaxation.

CIF file:
```
data_KTeS3
_cell_length_a 5.1489
_cell_length_b 5.1489
_cell_length_c 5.1489
_cell_angle_alpha 90.00
_cell_angle_beta 90.00
_cell_angle_gamma 90.00
_space_group_name_H-M_alt 'P 1'
_space_group_IT_number 1
loop_
_space_group_symop_operation_xyz
'x,y,z'
loop_
_atom_site_label
_atom_site_fract_x
_atom_site_fract_y
_atom_site_fract_z
K1 0.5000 0.5000 0.5000
Te1 0.0000 0.0000 0.0000
S1 0.0000 0.5000 0.0000
S2 0.0000 0.0000 0.5000
S3 0.5000 0.0000 0.0000
```

Values from the calculation:
ΔE to the lowest computed polymorph ... 1.26 eV/f.u.
Calculated volume ... 137 Å³/f.u.
VASP energy ... -3.47 eV/atom
Formation energy (no corrections) ... -140.9 meV per atom
Symmetry ... Pm-3m (221)

---

6.
VASP calculation (GGA-PBE) on NiGe3Sb after structural relaxation.

CIF file:
```
data_NiGe3Sb
_cell_length_a 4.6791
_cell_length_b 4.6791
_cell_length_c 4.6791
_cell_angle_alpha 90.00
_cell_angle_beta 90.00
_cell_angle_gamma 90.00
_space_group_name_H-M_alt 'P 1'
_space_group_IT_number 1
loop_
_space_group_symop_operation_xyz
'x,y,z'
loop_
_atom_site_label
_atom_site_fract_x
_atom_site_fract_y
_atom_site_fract_z
Sb1 0.5000 0.5000 0.5000
Ge1 0.0000 0.5000 0.0000
Ge2 0.0000 0.0000 0.5000
Ge3 0.5000 0.0000 0.0000
Ni1 0.0000 0.0000 0.0000
```

Values from the calculation:
Calculated volume ... 102 Å³/f.u.
VASP energy ... -4.58 eV/atom
Formation energy (no corrections) ... 167.2 meV per atom
Symmetry ... Pm-3m (221)

---

7.
VASP calculation (GGA-PBE) on TaBe2CdF after structural relaxation.

CIF file:
```
data_TaBe2CdF
_cell_length_a 4.2893
_cell_length_b 5.3575
_cell_length_c 4.2893
_cell_angle_alpha 90.00
_cell_angle_beta 90.00
_cell_angle_gamma 90.00
_space_group_name_H-M_alt 'P 1'
_space_group_IT_number 1
loop_
_space_group_symop_operation_xyz
'x,y,z'
loop_
_atom_site_label
_atom_site_fract_x
_atom_site_fract_y
_atom_site_fract_z
Be1 0.0000 0.0000 0.5000
Be2 0.5000 0.0000 0.0000
F1 0.5000 0.5000 0.5000
Cd1 0.0000 0.0000 0.0000
Ta1 0.0000 0.5000 0.0000
```

Values from the calculation:
Calculated volume ... 99 Å³/f.u.
VASP energy ... -3.21 eV/atom
Formation energy (no corrections) ... 1207.2 meV per atom
Symmetry ... P4/mmm (123)

---

8.
VASP calculation (GGA-PBE) on Ac4As3N2 after structural relaxation.

CIF file:
```
data_Ac4As3N2
_cell_length_a 7.5817
_cell_length_b 8.1812
_cell_length_c 9.6503
_cell_angle_alpha 115.08
_cell_angle_beta 105.05
_cell_angle_gamma 90.00
_space_group_name_H-M_alt 'P 1'
_space_group_IT_number 1
loop_
_space_group_symop_operation_xyz
'x,y,z'
loop_
_atom_site_label
_atom_site_fract_x
_atom_site_fract_y
_atom_site_fract_z
Ac1 0.4402 0.7128 0.8773
Ac2 0.0598 0.8355 0.1227
Ac3 0.5598 0.2872 0.1227
Ac4 0.9402 0.1645 0.8773
Ac5 0.7765 0.8259 0.4227
Ac6 0.7235 0.4032 0.5773
Ac7 0.2235 0.1741 0.5773
Ac8 0.2765 0.5968 0.4227
As1 0.0330 0.7613 0.7340
As2 0.4670 0.0274 0.2660
As3 0.9670 0.2387 0.2660
As4 0.5330 0.9726 0.7340
As5 0.7500 0.5169 0.0000
As6 0.2500 0.4831 0.0000
N1 0.5864 0.5312 0.3738
N2 0.9136 0.1574 0.6262
N3 0.4136 0.4688 0.6262
N4 0.0864 0.8426 0.3738
```

Values from the calculation:
Calculated volume ... 260 Å³/f.u.
VASP energy ... -6.16 eV/atom
Formation energy (no corrections) ... -938.0 meV per atom
Symmetry ... C2/c (15)

---

9.
VASP calculation (GGA-PBE) on VMo2HIr after structural relaxation.

CIF file:
```
data_VMo2HIr
_cell_length_a 3.9638
_cell_length_b 3.9638
_cell_length_c 3.9599
_cell_angle_alpha 90.00
_cell_angle_beta 90.00
_cell_angle_gamma 90.00
_space_group_name_H-M_alt 'P 1'
_space_group_IT_number 1
loop_
_space_group_symop_operation_xyz
'x,y,z'
loop_
_atom_site_label
_atom_site_fract_x
_atom_site_fract_y
_atom_site_fract_z
H1 0.0000 0.0000 0.0000
Mo1 0.0000 0.5000 0.0000
Mo2 0.5000 0.0000 0.0000
Ir1 0.0000 0.0000 0.5000
V1 0.5000 0.5000 0.5000
```

Values from the calculation:
ΔE to the lowest computed polymorph ... 0.40 eV/f.u.
Calculated volume ... 62 Å³/f.u.
VASP energy ... -8.61 eV/atom
Symmetry ... P4/mmm (123)

---

10.
VASP calculation (GGA-PBE) on AsRuSe after structural relaxation.

CIF file:
```
data_AsRuSe
_cell_length_a 6.5752
_cell_length_b 6.5752
_cell_length_c 6.5752
_cell_angle_alpha 153.81
_cell_angle_beta 153.81
_cell_angle_gamma 37.37
_space_group_name_H-M_alt 'P 1'
_space_group_IT_number 1
loop_
_space_group_symop_operation_xyz
'x,y,z'
loop_
_atom_site_label
_atom_site_fract_x
_atom_site_fract_y
_atom_site_fract_z
Ru1 0.3336 0.3336 0.0000
As1 0.9624 0.9624 0.0000
Se1 0.7040 0.7040 0.0000
```

Values from the calculation:
Calculated volume ... 55 Å³/f.u.
VASP energy ... -5.80 eV/atom
Formation energy (no corrections) ... 3.0 meV per atom
Symmetry ... I4mm (107)

---

11.
VASP calculation (GGA-PBE) on KRbHg after structural relaxation.

CIF file:
```
data_KRbHg
_cell_length_a 9.8928
_cell_length_b 5.4330
_cell_length_c 13.9101
_cell_angle_alpha 90.00
_cell_angle_beta 123.83
_cell_angle_gamma 90.00
_space_group_name_H-M_alt 'P 1'
_space_group_IT_number 1
loop_
_space_group_symop_operation_xyz
'x,y,z'
loop_
_atom_site_label
_atom_site_fract_x
_atom_site_fract_y
_atom_site_fract_z
K1 0.5845 0.0000 0.1823
K2 0.4155 0.0000 0.8177
K3 0.5845 0.5000 0.6823
K4 0.4155 0.5000 0.3177
Hg1 0.8376 0.0000 0.8793
Hg2 0.1624 0.0000 0.1207
Hg3 0.8376 0.5000 0.3793
Hg4 0.1624 0.5000 0.6207
Rb1 0.8565 0.0000 0.5843
Rb2 0.1435 0.0000 0.4157
Rb3 0.8565 0.5000 0.0843
Rb4 0.1435 0.5000 0.9157
```

Values from the calculation:
ΔE to the lowest computed polymorph ... 0.02 eV/f.u.
Calculated volume ... 155 Å³/f.u.
VASP energy ... -0.95 eV/atom
Symmetry ... C2/m (12)

---

> Which of these has the lowest VASP energy?

VMo2HIr

---

> calculated volume of number 10 (AsRuSe)?

55 Å³/f.u.

---

> Among the records above, which one has the lowest VASP energy?

VMo2HIr